Here is an optimized crystal structure of SrLaH3 from Alexandria. Energies are from GGA-PBE.

symmetry: Pm-3m
total DFT energy (no corrections): -18.20 eV per cell

a b c (Å): 4.587 4.587 4.587
angles (deg): 90.00 90.00 90.00
Positions (direct):
Sr (0.500, 0.500, 0.500)
H (0.000, 0.500, 0.000)
H (0.000, 0.000, 0.500)
H (0.500, 0.000, 0.000)
La (0.000, 0.000, 0.000)